[1]
ReAs2Se | PBE | relaxed

CIF file:
```
data_ReAs2Se
_chemical_formula_sum 'Re1 As2 Se1'
_space_group_name_H-M_alt 'P 1'
_space_group_IT_number 1
_cell_length_a 2.863
_cell_length_b 2.863
_cell_length_c 10.427
_cell_angle_alpha 90.00
_cell_angle_beta 90.00
_cell_angle_gamma 115.80
loop_
_space_group_symop_operation_xyz
'x,y,z'
loop_
_atom_site_label
_atom_site_fract_x
_atom_site_fract_y
_atom_site_fract_z
_atom_site_occupancy
Re1 0.000 0.000 0.000 1
As1 0.500 0.500 0.200 1
As2 0.500 0.500 0.800 1
Se1 0.000 0.000 0.500 1
```

Values from the calculation:
**Formation energy without anion corrections**: 0.402 eV per atom
**Symmetry**: Cmmm (65)

[2]
ReAs2Se | PBE | relaxed

CIF file:
```
data_ReAs2Se
_chemical_formula_sum 'Re1 As2 Se1'
_space_group_name_H-M_alt 'P 1'
_space_group_IT_number 1
_cell_length_a 4.545
_cell_length_b 4.545
_cell_length_c 4.545
_cell_angle_alpha 119.79
_cell_angle_beta 119.79
_cell_angle_gamma 90.36
loop_
_space_group_symop_operation_xyz
'x,y,z'
loop_
_atom_site_label
_atom_site_fract_x
_atom_site_fract_y
_atom_site_fract_z
_atom_site_occupancy
Re1 0.000 0.000 0.000 1
As1 0.500 0.500 0.000 1
As2 0.750 0.250 0.500 1
Se1 0.250 0.750 0.500 1
```

Values from the calculation:
**Formation energy without anion corrections**: 0.598 eV per atom
**Symmetry**: I-4m2 (119)

[3]
ReAs2Se | PBE | relaxed

CIF file:
```
data_ReAs2Se
_chemical_formula_sum 'Re1 As2 Se1'
_space_group_name_H-M_alt 'P 1'
_space_group_IT_number 1
_cell_length_a 4.671
_cell_length_b 4.671
_cell_length_c 3.135
_cell_angle_alpha 90.00
_cell_angle_beta 90.00
_cell_angle_gamma 90.00
loop_
_space_group_symop_operation_xyz
'x,y,z'
loop_
_atom_site_label
_atom_site_fract_x
_atom_site_fract_y
_atom_site_fract_z
_atom_site_occupancy
Re1 0.000 0.000 0.000 1
As1 0.000 0.500 0.500 1
As2 0.500 0.000 0.500 1
Se1 0.500 0.500 0.000 1
```

Values from the calculation:
**Formation energy without anion corrections**: 0.833 eV per atom
**Symmetry**: P4/mmm (123)